First-principles (GGA-PBE) data for RbLaRh2 after structural relaxation, as listed in Alexandria via LeMat-Bulk.

Cell lengths 5.110, 5.110, 5.110 Å; angles 60.00, 60.00, 60.00 degrees
Fractional positions:
La (0.500, 0.500, 0.500)
Rh (0.750, 0.750, 0.750)
Rh (0.250, 0.250, 0.250)
Rb (0.000, 0.000, 0.000)

Results
**Total magnetization**: 0.000 μB/f.u.
**Energy relative to the elements**: 1.193 eV/f.u.
**Space-group type**: Fm-3m, No. 225